1.
Below is an optimized crystal structure of Tb3NdPt3, with properties calculated at the GGA-PBE level.

a = 7.580 Å, b = 7.580 Å, c = 7.580 Å
α = 69.84°, β = 69.84°, γ = 69.84°
Element x y z (fractional)
Tb: 0.111 0.366 0.822
Tb: 0.178 0.889 0.634
Tb: 0.366 0.822 0.111
Tb: 0.634 0.178 0.889
Tb: 0.822 0.111 0.366
Tb: 0.889 0.634 0.178
Nd: 0.333 0.333 0.333
Nd: 0.667 0.667 0.667
Pt: 0.061 0.700 0.443
Pt: 0.300 0.557 0.939
Pt: 0.443 0.061 0.700
Pt: 0.557 0.939 0.300
Pt: 0.700 0.443 0.061
Pt: 0.939 0.300 0.557

Summary:
Crystal system ... trigonal
E ... -6.290 eV/atom

2.
Below is an optimized crystal structure of TbNdPt, with properties calculated at the GGA-PBE level.

a = 7.005 Å, b = 13.419 Å, c = 7.224 Å
α = 90.00°, β = 90.00°, γ = 90.00°
Element x y z (fractional)
Tb: 0.003 0.032 0.241
Tb: 0.003 0.468 0.741
Tb: 0.497 0.532 0.241
Tb: 0.497 0.968 0.741
Tb: 0.503 0.032 0.259
Tb: 0.503 0.468 0.759
Tb: 0.997 0.532 0.259
Tb: 0.997 0.968 0.759
Nd: 0.205 0.698 0.897
Nd: 0.205 0.802 0.397
Nd: 0.295 0.198 0.897
Nd: 0.295 0.302 0.397
Nd: 0.705 0.698 0.603
Nd: 0.705 0.802 0.103
Nd: 0.795 0.198 0.603
Nd: 0.795 0.302 0.103
Pt: 0.229 0.101 0.542
Pt: 0.229 0.399 0.042
Pt: 0.271 0.601 0.542
Pt: 0.271 0.899 0.042
Pt: 0.729 0.101 0.958
Pt: 0.729 0.399 0.458
Pt: 0.771 0.601 0.958
Pt: 0.771 0.899 0.458

Summary:
Energy above the lowest structure with this stoichiometry ... 0 meV/atom
Crystal system ... orthorhombic
E ... -6.014 eV/atom

Size of the total moment / Bohr magnetons per cell: 0.00, 0.00
ΔH_f (0 K) / meV per atom: -1035, -867